{"formula": "BCS", "functional": "GGA-PBE", "state": "optimized geometry", "raw_formation_energy_ev_per_atom": 0.211, "polymorph_energy_mev_per_atom": 53, "lattice": [[2.7112, 0.0009, -0.0012], [-1.3516, 3.9484, -0.0116], [-0.1266, -2.0409, 7.3867]], "species": ["S", "S", "B", "B", "C", "C"], "frac_coords": [[0.0765, 0.1332, 0.7510], [0.9235, 0.8668, 0.2490], [0.7595, 0.5269, 0.3961], [0.2405, 0.4731, 0.6039], [0.1458, 0.3005, 0.3766], [0.8542, 0.6995, 0.6234]]}


{"formula": "Nd6SmDy2", "functional": "GGA-PBE", "state": "optimized geometry", "e_form_ev_per_atom": 0.22, "polymorph_energy_mev_per_atom": 165, "lattice": [[6.2331, -0.0263, -0.0152], [0.0381, 7.6117, 0.0102], [0.0382, 3.8011, 6.5947]], "species": ["Nd", "Nd", "Nd", "Nd", "Nd", "Nd", "Sm", "Dy", "Dy"], "frac_coords": [[0.2894, 0.3765, 0.8119], [0.2892, 0.8116, 0.8116], [0.2894, 0.8119, 0.3765], [0.7106, 0.6235, 0.1881], [0.7108, 0.1884, 0.1884], [0.7106, 0.1881, 0.6235], [0.0000, 0.0000, 0.0000], [0.7842, 0.6665, 0.6665], [0.2158, 0.3335, 0.3335]]}


{"formula": "LaCdI3", "functional": "GGA-PBE", "state": "optimized geometry", "raw_formation_energy_ev_per_atom": -1.004, "lattice": [[-5.7375, 1.1480, -2.3918], [1.1181, -4.1215, -4.6605], [-2.4059, -4.6532, 3.5379]], "species": ["I", "I", "I", "Cd", "La"], "frac_coords": [[0.0000, 0.5000, 0.0000], [0.0000, 0.0000, 0.5000], [0.5000, 0.0000, 0.0000], [0.5000, 0.5000, 0.5000], [0.0000, 0.0000, 0.0000]]}


{"formula": "CrCo2Ni2", "functional": "GGA-PBE", "state": "optimized geometry", "e_form_ev_per_atom": 0.13, "polymorph_energy_mev_per_atom": 0, "lattice": [[-6.0043, 0.1297, 1.3220], [-5.0445, -0.4814, 3.4836], [-0.9311, 3.6015, 1.4317]], "species": ["Cr", "Co", "Co", "Ni", "Ni"], "frac_coords": [[0.0000, 0.0000, 0.0000], [0.5990, 0.5986, 0.4012], [0.4010, 0.4014, 0.5988], [0.2899, 0.2898, 0.2102], [0.7101, 0.7102, 0.7898]]}


| no. | energy (eV per atom) |
| --- | --- |
| 1 | -6.466 |
| 2 | -4.504 |
| 3 | -3.102 |
| 4 | -6.952 |